Record 1
Li2Ti2V3O10 | SCAN | single point on PBEsol structure

Lattice parameters (Å, degrees): 4.9418 4.9950 7.7101 75.94 77.04 78.68
With the nearest neighbours (Å) after each atom.
Fractional coordinates of all 17 atoms:
Li  0.5380  0.7777  0.3918  4 O 1.96-2.04
Li  0.4620  0.2218  0.6082  4 O 1.96-2.04
Ti  0.0034  0.8783  0.6845  3 O 1.83-1.90
Ti  0.9975  0.1206  0.3158  4 O 1.84-2.05
V  0.5007  0.0015  0.9998  6 O 1.96-2.00
V  0.9607  0.3134  0.9015  6 O 1.89-2.08
V  0.0373  0.6855  0.0990  6 O 1.88-2.09
O  0.2164  0.9523  0.8667  3 V 2.00-2.09, 1 Ti 2.07
O  0.7690  0.9265  0.5121  2 Ti 1.86-1.90, 2 Li 1.96-2.04
O  0.7648  0.6730  0.9421  3 V 1.93-2.02
O  0.2743  0.8034  0.2183  2 V 1.89-1.96, 1 Li 2.03, 1 Ti 2.05
O  0.1729  0.5158  0.6933  1 Ti 1.83, 1 V 1.89, 1 Li 1.96
O  0.8270  0.4836  0.3071  1 Ti 1.84, 1 V 1.88, 1 Li 1.96
O  0.7255  0.1977  0.7800  2 V 1.89-1.96, 1 Li 2.02, 1 Ti 2.06
O  0.2357  0.3283  0.0577  3 V 1.92-2.03
O  0.2321  0.0724  0.4879  2 Ti 1.86-1.89, 2 Li 1.96-2.04
O  0.7828  0.0481  0.1341  3 V 1.99-2.08, 1 Ti 2.07

Summary:
SG   No. 1
Crystal system   triclinic
D(E_F)   0.75 states/eV/f.u.


Record 2
Li2TiVO4 | SCAN | single point on PBEsol structure

Lattice parameters (Å, degrees): 2.8633 4.9453 5.1781 108.69 90.00 90.00
With the nearest neighbours (Å) after each atom.
Fractional coordinates of all 8 atoms:
Ti  0.0000  0.5000  0.0000  6 O 2.02
Li  0.5000  0.5000  0.5000  6 O 2.08-2.09
Li  0.0000  0.0000  0.5000  6 O 2.09
O  0.0000  0.7540  0.7619  2 V 2.02, 1 Ti 2.02, 3 Li 2.09
O  0.0000  0.2460  0.2381  2 V 2.02, 1 Ti 2.02, 3 Li 2.09
O  0.5000  0.2558  0.7616  2 Ti 2.02, 1 V 2.03, 3 Li 2.08-2.09
O  0.5000  0.7442  0.2384  2 Ti 2.02, 1 V 2.03, 3 Li 2.08-2.09
V  0.5000  0.0000  0.0000  6 O 2.02-2.03

Summary:
Energy relative to the lowest polymorph listed for this composition   0.005 eV per atom
SG   No. 10
Crystal system   monoclinic
D(E_F)   1.69 states/eV/f.u.


Record 3
Li2TiVO5 | SCAN | single point on PBEsol structure

Lattice parameters (Å, degrees): 4.4888 6.6168 6.6168 90.00 90.00 90.00
With the nearest neighbours (Å) after each atom.
Fractional coordinates of all 18 atoms:
Li  0.0000  0.2500  0.7500  4 O 2.03
Li  0.0000  0.2500  0.2500  4 O 2.03
Li  0.0000  0.7500  0.2500  4 O 2.03
Li  0.0000  0.7500  0.7500  4 O 2.03
Ti  0.5000  0.5000  0.5000  4 O 1.82
Ti  0.5000  0.0000  0.0000  4 O 1.82
V  0.6126  0.5000  0.0000  1 O 1.65
V  0.3874  0.0000  0.5000  1 O 1.65
O  0.2450  0.5000  0.0000  1 V 1.65
O  0.7550  0.0000  0.5000  1 V 1.65
O  0.2592  0.2789  0.5000  1 Ti 1.82, 1 V 1.93, 2 Li 2.03
O  0.7408  0.5000  0.2789  1 Ti 1.82, 1 V 1.93, 2 Li 2.03
O  0.7408  0.5000  0.7211  1 Ti 1.82, 1 V 1.93, 2 Li 2.03
O  0.2592  0.7211  0.5000  1 Ti 1.82, 1 V 1.93, 2 Li 2.03
O  0.7408  0.7789  0.0000  1 Ti 1.82, 1 V 1.93, 2 Li 2.03
O  0.2592  0.0000  0.7789  1 Ti 1.82, 1 V 1.93, 2 Li 2.03
O  0.2592  0.0000  0.2211  1 Ti 1.82, 1 V 1.93, 2 Li 2.03
O  0.7408  0.2211  0.0000  1 Ti 1.82, 1 V 1.93, 2 Li 2.03

Summary:
SG   No. 129
Crystal system   tetragonal


Record 4
Li2TiVO4 | SCAN | single point on PBEsol structure

Lattice parameters (Å, degrees): 5.7905 5.7905 8.1775 88.94 88.94 89.95
With the nearest neighbours (Å) after each atom.
Fractional coordinates of all 32 atoms:
Li  0.4951  0.7454  0.3791  6 O 2.02-2.13
Li  0.0030  0.2493  0.8759  6 O 1.99-2.13
Li  0.2546  0.5049  0.6209  6 O 2.02-2.13
Li  0.7507  0.9970  0.1241  6 O 1.99-2.13
Li  0.4921  0.2511  0.3733  6 O 2.05-2.11
Li  0.9969  0.7515  0.8732  6 O 2.04-2.12
Li  0.7489  0.5079  0.6267  6 O 2.05-2.11
Li  0.2485  0.0031  0.1268  6 O 2.04-2.12
Ti  0.9927  0.7622  0.3797  6 O 2.00-2.08
Ti  0.5056  0.2436  0.8716  6 O 1.97-2.04
Ti  0.2378  0.0073  0.6203  6 O 2.00-2.08
Ti  0.7564  0.4944  0.1284  6 O 1.97-2.04
V  0.2511  0.5035  0.1229  6 O 2.00-2.04
V  0.4965  0.7489  0.8771  6 O 2.00-2.04
V  0.7770  0.0120  0.6057  6 O 1.97-2.12
V  0.9880  0.2230  0.3943  6 O 1.97-2.12
O  0.0044  0.2625  0.6321  2 V 1.97-1.98, 3 Li 1.99-2.05, 1 Ti 2.00
O  0.5038  0.7394  0.1228  2 V 2.00-2.01, 1 Ti 2.04, 3 Li 2.07-2.12
O  0.7375  0.9956  0.3679  2 V 1.97-1.98, 3 Li 1.99-2.05, 1 Ti 2.00
O  0.2606  0.4962  0.8772  2 V 2.00-2.01, 1 Ti 2.04, 3 Li 2.07-2.12
O  0.2293  0.4928  0.3673  2 V 2.00-2.10, 3 Li 2.07-2.13, 1 Ti 2.08
O  0.7423  0.9981  0.8641  1 Ti 1.97, 2 V 2.03-2.12, 3 Li 2.05-2.13
O  0.0019  0.2577  0.1359  1 Ti 1.97, 2 V 2.03-2.12, 3 Li 2.05-2.13
O  0.5072  0.7707  0.6327  2 V 2.00-2.10, 3 Li 2.07-2.13, 1 Ti 2.08
O  0.2485  0.9948  0.3758  2 Ti 2.00, 1 V 2.01, 3 Li 2.03-2.05
O  0.7428  0.4968  0.8827  2 Ti 2.01, 1 V 2.04, 3 Li 2.08-2.09
O  0.0052  0.7515  0.6242  2 Ti 2.00, 1 V 2.01, 3 Li 2.03-2.05
O  0.5032  0.2572  0.1173  2 Ti 2.01, 1 V 2.04, 3 Li 2.08-2.09
O  0.9967  0.7433  0.1296  2 Ti 2.00-2.05, 1 V 2.02, 3 Li 2.05-2.10
O  0.5037  0.2396  0.6281  2 Ti 1.99-2.05, 1 V 2.07, 3 Li 2.09-2.11
O  0.7604  0.4963  0.3719  2 Ti 1.99-2.05, 1 V 2.07, 3 Li 2.09-2.11
O  0.2567  0.0033  0.8704  2 Ti 2.00-2.05, 1 V 2.02, 3 Li 2.05-2.10

Summary:
Energy relative to the lowest polymorph listed for this composition   0.021 eV per atom
SG   No. 5
Crystal system   monoclinic
D(E_F)   1.13 states/eV/f.u.


Uncorrected formation energy values, unit kJ per mole of atoms, following the record order: -270.5 -264.0 -268.5 -262.5.
Volume values, unit Å³/cell, following the record order: 177.88 69.45 196.53 274.10.